# 1
! PBE K2SbPt, optimized geometry; values from VASP
! Energy relative to the elements, uncorrected   -0.99 eV per formula unit
! DOS at the Fermi energy   2.162 states/eV/f.u.
! SG   P4mm, No. 99
&SYSTEM
  ibrav = 0, nat = 4, ntyp = 3
/
ATOMIC_SPECIES
K 39.10 K.upf
Pt 195.08 Pt.upf
Sb 121.76 Sb.upf
ATOMIC_POSITIONS crystal
K 0.000 0.000 0.919
K 0.500 0.500 0.330
Pt 0.000 0.000 0.590
Sb 0.500 0.500 0.662
CELL_PARAMETERS angstrom
-2.057 -0.874 -3.036
0.403 -3.666 0.781
-8.376 0.271 5.597

***

# 2
! PBE Tb6Dy2S3, optimized geometry; values from VASP
! Energy relative to the elements, uncorrected   -11.47 eV per formula unit
! DOS at the Fermi energy   9.932 states/eV/f.u.
! SG   R-3m, No. 166
&SYSTEM
  ibrav = 0, nat = 11, ntyp = 3
/
ATOMIC_SPECIES
Tb 158.93 Tb.upf
Dy 162.50 Dy.upf
S 32.06 S.upf
ATOMIC_POSITIONS crystal
Tb 0.069 0.069 0.793
Tb 0.931 0.931 0.207
Tb 0.186 0.186 0.443
Tb 0.814 0.814 0.557
Tb 0.357 0.357 0.929
Tb 0.643 0.643 0.071
Dy 0.442 0.442 0.673
Dy 0.558 0.558 0.327
S 0.000 0.000 0.000
S 0.287 0.287 0.138
S 0.713 0.713 0.862
CELL_PARAMETERS angstrom
3.735 0.000 0.370
1.849 3.245 0.370
-0.553 -0.321 24.597

***

# 3
! PBE ZrZnBr2, optimized geometry; values from VASP
! Energy relative to the elements, uncorrected   -0.16 eV per formula unit
! Relative energy among the computed polymorphs   0.626 eV/atom
! DOS at the Fermi energy   3.549 states/eV/f.u.
! SG   I-4m2, No. 119
&SYSTEM
  ibrav = 0, nat = 4, ntyp = 3
/
ATOMIC_SPECIES
Br 79.90 Br.upf
Zn 65.41 Zn.upf
Zr 91.22 Zr.upf
ATOMIC_POSITIONS crystal
Br 0.000 0.000 0.000
Br 0.250 0.750 0.500
Zn 0.500 0.500 0.000
Zr 0.750 0.250 0.500
CELL_PARAMETERS angstrom
6.092 0.022 0.000
3.366 5.078 0.000
-4.729 -2.550 2.872

***

# 4
! PBE ZrTe2Cl, optimized geometry; values from VASP
! Energy relative to the elements, uncorrected   -2.89 eV per formula unit
! Relative energy among the computed polymorphs   0.123 eV/atom
! DOS at the Fermi energy   1.637 states/eV/f.u.
! SG   Imm2, No. 44
&SYSTEM
  ibrav = 0, nat = 4, ntyp = 3
/
ATOMIC_SPECIES
Cl 35.45 Cl.upf
Te 127.60 Te.upf
Zr 91.22 Zr.upf
ATOMIC_POSITIONS crystal
Cl 0.352 0.852 0.500
Te 0.018 0.018 0.000
Te 0.648 0.148 0.500
Zr 0.482 0.482 0.000
CELL_PARAMETERS angstrom
8.373 0.143 -0.024
5.750 6.088 0.024
-6.348 -4.732 2.727

***

# 5
! PBE PuNp2USe4, optimized geometry; values from VASP
! Energy relative to the elements, uncorrected   -9.20 eV per formula unit
! DOS at the Fermi energy   29.421 states/eV/f.u.
! SG   P2/m, No. 10
&SYSTEM
  ibrav = 0, nat = 8, ntyp = 4
/
ATOMIC_SPECIES
Pu 244.00 Pu.upf
Np 237.00 Np.upf
U 238.03 U.upf
Se 78.96 Se.upf
ATOMIC_POSITIONS crystal
Pu 0.500 0.500 0.000
Np 0.500 0.000 0.500
Np 0.000 0.500 0.500
U 0.000 0.000 0.000
Se 0.500 0.251 0.251
Se 0.500 0.749 0.749
Se 0.000 0.249 0.749
Se 0.000 0.751 0.251
CELL_PARAMETERS angstrom
4.064 0.000 0.000
0.000 7.186 0.174
0.000 -2.453 6.621

***

# 6
! PBE Mg3VSi, optimized geometry; values from VASP
! Energy relative to the elements, uncorrected   3.64 eV per formula unit
! Relative energy among the computed polymorphs   0.000 eV/atom
! DOS at the Fermi energy   7.991 states/eV/f.u.
! SG   Pm-3m, No. 221
&SYSTEM
  ibrav = 0, nat = 5, ntyp = 3
/
ATOMIC_SPECIES
Si 28.09 Si.upf
Mg 24.30 Mg.upf
V 50.94 V.upf
ATOMIC_POSITIONS crystal
Si 0.000 0.000 0.000
Mg 0.000 0.500 0.000
Mg 0.000 0.000 0.500
Mg 0.500 0.000 0.000
V 0.500 0.500 0.500
CELL_PARAMETERS angstrom
-3.029 3.906 0.746
-1.049 -1.690 4.586
3.836 2.622 1.844

***

# 7
! PBE LaHf2Ni2, optimized geometry; values from VASP
! Energy of formation   -0.2758 eV/atom
! Relative energy among the computed polymorphs   0.000 eV/atom
! DOS at the Fermi energy   4.178 states/eV/f.u.
! SG   I4/mmm, No. 139
&SYSTEM
  ibrav = 0, nat = 5, ntyp = 3
/
ATOMIC_SPECIES
Ni 58.69 Ni.upf
Hf 178.49 Hf.upf
La 138.91 La.upf
ATOMIC_POSITIONS crystal
Ni 0.380 0.380 0.240
Ni 0.620 0.620 0.760
Hf 0.750 0.250 0.500
Hf 0.250 0.750 0.500
La 0.000 0.000 0.000
CELL_PARAMETERS angstrom
4.480 0.000 0.000
0.000 4.480 0.000
2.240 2.240 5.178

***

# 8
! PBE Sr2LaP2N6, optimized geometry; values from VASP
! Energy relative to the elements, uncorrected   -9.01 eV per formula unit
! DOS at the Fermi energy   4.427 states/eV/f.u.
! SG   C2/m, No. 12
&SYSTEM
  ibrav = 0, nat = 11, ntyp = 4
/
ATOMIC_SPECIES
Sr 87.62 Sr.upf
La 138.91 La.upf
P 30.97 P.upf
N 14.01 N.upf
ATOMIC_POSITIONS crystal
Sr 0.698 0.397 0.162
Sr 0.302 0.603 0.838
La 0.500 0.000 0.500
P 0.957 0.915 0.748
P 0.043 0.085 0.252
N 0.779 0.557 0.614
N 0.182 0.900 0.192
N 0.282 0.100 0.808
N 0.818 0.100 0.808
N 0.718 0.900 0.192
N 0.221 0.443 0.386
CELL_PARAMETERS angstrom
5.865 0.000 0.000
-2.933 4.994 -0.161
0.000 -3.053 6.192

***

# 9
! PBE Pr3YPb2, optimized geometry; values from VASP
! Energy of formation   -0.4435 eV/atom
! Relative energy among the computed polymorphs   0.000 eV/atom
! DOS at the Fermi energy   7.605 states/eV/f.u.
! SG   P-4m2, No. 115
&SYSTEM
  ibrav = 0, nat = 6, ntyp = 3
/
ATOMIC_SPECIES
Pr 140.91 Pr.upf
Y 88.91 Y.upf
Pb 207.20 Pb.upf
ATOMIC_POSITIONS crystal
Pr 0.500 0.000 0.347
Pr 0.000 0.500 0.653
Pr 0.000 0.000 0.000
Y 0.500 0.500 0.000
Pb 0.500 0.000 0.721
Pb 0.000 0.500 0.279
CELL_PARAMETERS angstrom
-2.409 -2.590 -3.113
3.746 -0.048 -2.858
2.910 -7.438 3.937

***

# 10
! PBE ZnOs, optimized geometry; values from VASP
! Energy of formation   0.9016 eV/atom
! DOS at the Fermi energy   1.631 states/eV/f.u.
! SG   P6_3/mmc, No. 194
&SYSTEM
  ibrav = 0, nat = 4, ntyp = 2
/
ATOMIC_SPECIES
Os 190.23 Os.upf
Zn 65.41 Zn.upf
ATOMIC_POSITIONS crystal
Os 0.000 0.000 0.000
Os 0.000 0.000 0.500
Zn 0.333 0.667 0.250
Zn 0.667 0.333 0.750
CELL_PARAMETERS angstrom
-3.495 1.319 -1.680
-0.085 -2.897 2.894
-0.351 3.428 3.421

***

# 11
! PBE CeZnCd2, optimized geometry; values from VASP
! Energy of formation   -0.0813 eV/atom
! DOS at the Fermi energy   10.160 states/eV/f.u.
! SG   P4/mmm, No. 123
&SYSTEM
  ibrav = 0, nat = 4, ntyp = 3
/
ATOMIC_SPECIES
Zn 65.41 Zn.upf
Ce 140.12 Ce.upf
Cd 112.41 Cd.upf
ATOMIC_POSITIONS crystal
Zn 0.500 0.000 0.000
Ce 0.500 0.500 0.500
Cd 0.000 0.000 0.500
Cd 0.000 0.500 0.000
CELL_PARAMETERS angstrom
4.916 0.000 0.000
0.000 4.448 0.000
0.000 0.000 4.448

***

# 12
! PBE Pm6Pd23, optimized geometry; values from VASP
! Energy of formation   -0.5886 eV/atom
! DOS at the Fermi energy   23.598 states/eV/f.u.
! SG   Fm-3m, No. 225
&SYSTEM
  ibrav = 0, nat = 29, ntyp = 2
/
ATOMIC_SPECIES
Pm 145.00 Pm.upf
Pd 106.42 Pd.upf
ATOMIC_POSITIONS crystal
Pm 0.224 0.776 0.776
Pm 0.776 0.224 0.224
Pm 0.224 0.224 0.776
Pm 0.776 0.776 0.224
Pm 0.224 0.776 0.224
Pm 0.776 0.224 0.776
Pd 0.500 0.500 0.500
Pd 0.500 0.000 0.000
Pd 0.000 0.500 0.500
Pd 0.500 0.500 0.000
Pd 0.000 0.000 0.500
Pd 0.500 0.000 0.500
Pd 0.000 0.500 0.000
Pd 0.139 0.620 0.620
Pd 0.620 0.620 0.139
Pd 0.620 0.139 0.620
Pd 0.620 0.620 0.620
Pd 0.380 0.380 0.861
Pd 0.861 0.380 0.380
Pd 0.380 0.861 0.380
Pd 0.380 0.380 0.380
Pd 0.507 0.831 0.831
Pd 0.831 0.831 0.507
Pd 0.831 0.507 0.831
Pd 0.831 0.831 0.831
Pd 0.169 0.169 0.493
Pd 0.493 0.169 0.169
Pd 0.169 0.493 0.169
Pd 0.169 0.169 0.169
CELL_PARAMETERS angstrom
7.949 0.000 4.589
2.650 7.494 4.589
0.000 0.000 9.179